--- i ---
Density functional theory data (PBE) for a geometry-optimized B3CI structure.

- ρ: 3.43 g/cm³

Unit cell a=4.361 b=4.361 c=4.361 alpha=90.00 beta=90.00 gamma=90.00
Element x y z (fractional)
I  0.000  0.000  0.000
C  0.500  0.500  0.500
B  0.000  0.500  0.000
B  0.000  0.000  0.500
B  0.500  0.000  0.000

***

--- ii ---
Density functional theory data (PBE) for a geometry-optimized B3CI structure.

- ρ: 5.32 g/cm³

Unit cell a=3.768 b=3.768 c=3.768 alpha=90.00 beta=90.00 gamma=90.00
Element x y z (fractional)
I  0.500  0.500  0.500
C  0.000  0.000  0.000
B  0.000  0.500  0.000
B  0.000  0.000  0.500
B  0.500  0.000  0.000

***

Energies, relative to the best one, in kJ/mol of atoms: i 157.8; ii 0.0.

***

--- i ---
Density functional theory data (PBE) for a geometry-optimized VBCI2 structure.

- ρ: 4.60 g/cm³

Unit cell a=5.345 b=4.140 c=5.345 alpha=90.00 beta=90.00 gamma=90.00
Last column: magnetic moment on the atom in μB.
Element x y z (fractional)
I  0.000  0.000  0.500  -0.04
I  0.500  0.000  0.000  -0.04
C  0.500  0.500  0.500  0.91
B  0.000  0.500  0.000  0.03
V  0.000  0.000  0.000  1.33

***

--- ii ---
Density functional theory data (PBE) for a geometry-optimized VBCI2 structure.

- ρ: 4.45 g/cm³

Unit cell a=6.494 b=2.898 c=6.494 alpha=90.00 beta=90.00 gamma=90.00
Last column: magnetic moment on the atom in μB.
Element x y z (fractional)
I  0.000  0.000  0.500  -0.02
I  0.500  0.000  0.000  0.00
C  0.000  0.000  0.000  -0.01
B  0.000  0.500  0.000  0.00
V  0.500  0.500  0.500  2.93

***

Energies, relative to the best one, in kJ/mol of atoms: i 82.5; ii 0.0.

***

--- i ---
Density functional theory data (PBE) for a geometry-optimized In2BC structure.

- ρ: 6.84 g/cm³

Unit cell a=4.425 b=4.425 c=4.425 alpha=60.00 beta=60.00 gamma=60.00
Element x y z (fractional)
C  0.500  0.500  0.500
B  0.000  0.000  0.000
In  0.250  0.250  0.250
In  0.750  0.750  0.750

***

--- ii ---
Density functional theory data (PBE) for a geometry-optimized In2BC structure.

- ρ: 5.71 g/cm³

Unit cell a=5.573 b=5.573 c=6.158 alpha=63.09 beta=63.09 gamma=90.00
Element x y z (fractional)
C  0.000  0.000  0.000
C  0.750  0.250  0.500
B  0.500  0.500  0.000
B  0.250  0.750  0.500
In  0.651  0.125  0.250
In  0.099  0.625  0.250
In  0.375  0.349  0.750
In  0.875  0.901  0.750

***

Energies, relative to the best one, in kJ/mol of atoms: i 45.9; ii 0.0.